# 1
# NaNb2Tc2 (GGA-PBE, relaxed)
data_NaNb2Tc2
_chemical_formula_sum 'Na2 Nb4 Tc4'
_symmetry_space_group_name_H-M 'I 4/m m m'
_symmetry_Int_Tables_number 139
_symmetry_space_group_name_Hall '-I 4 2'
_cell_length_a 4.1649
_cell_length_b 4.1649
_cell_length_c 12.2647
_cell_angle_alpha 90.00
_cell_angle_beta 90.00
_cell_angle_gamma 90.00
loop_
_atom_site_label
_atom_site_type_symbol
_atom_site_fract_x
_atom_site_fract_y
_atom_site_fract_z
Na1 Na 0.0000 0.0000 0.0000
Nb1 Nb 0.0000 0.0000 0.3709
Tc1 Tc 0.0000 0.5000 0.2500
# DOS(E_F), states/eV/atom: 0.937
# Calculated formation energy, kJ per mole of atoms: 61
# Magnetic moment, Bohr magnetons per cell: 0.00
# ρ, g cm⁻³: 6.3

# 2
# Na2NbTcW (GGA-PBE, relaxed)
data_Na2NbTcW
_chemical_formula_sum 'Na2 Nb1 Tc1 W1'
_symmetry_space_group_name_H-M 'P 4/m m m'
_symmetry_Int_Tables_number 123
_symmetry_space_group_name_Hall '-P 4 2'
_cell_length_a 5.0248
_cell_length_b 5.0248
_cell_length_c 4.5450
_cell_angle_alpha 90.00
_cell_angle_beta 90.00
_cell_angle_gamma 90.00
loop_
_atom_site_label
_atom_site_type_symbol
_atom_site_fract_x
_atom_site_fract_y
_atom_site_fract_z
Na1 Na 0.0000 0.5000 0.0000
Nb1 Nb 0.0000 0.0000 0.0000
Tc1 Tc 0.0000 0.0000 0.5000
W1 W 0.5000 0.5000 0.5000
# DOS(E_F), states/eV/atom: 1.516
# Calculated formation energy, kJ per mole of atoms: 241
# Magnetic moment, Bohr magnetons per cell: 0.50
# ρ, g cm⁻³: 6.1

# 3
# NaNbZnTc2 (GGA-PBE, relaxed)
data_NaNbZnTc2
_chemical_formula_sum 'Na1 Nb1 Zn1 Tc2'
_symmetry_space_group_name_H-M 'P 4/m m m'
_symmetry_Int_Tables_number 123
_symmetry_space_group_name_Hall '-P 4 2'
_cell_length_a 4.6725
_cell_length_b 4.6725
_cell_length_c 4.2424
_cell_angle_alpha 90.00
_cell_angle_beta 90.00
_cell_angle_gamma 90.00
loop_
_atom_site_label
_atom_site_type_symbol
_atom_site_fract_x
_atom_site_fract_y
_atom_site_fract_z
Na1 Na 0.0000 0.0000 0.0000
Nb1 Nb 0.5000 0.5000 0.0000
Zn1 Zn 0.0000 0.0000 0.5000
Tc1 Tc 0.0000 0.5000 0.5000
# DOS(E_F), states/eV/atom: 0.611
# Calculated formation energy, kJ per mole of atoms: 137
# Magnetic moment, Bohr magnetons per cell: 1.39
# ρ, g cm⁻³: 6.8

# 4
# NaNb6Te8 (GGA-PBE, relaxed)
data_NaNb6Te8
_chemical_formula_sum 'Na1 Nb6 Te8'
_symmetry_space_group_name_H-M 'P -3'
_symmetry_Int_Tables_number 147
_cell_length_a 10.7553
_cell_length_b 10.7553
_cell_length_c 3.6951
_cell_angle_alpha 90.00
_cell_angle_beta 90.00
_cell_angle_gamma 120.00
loop_
_symmetry_equiv_pos_as_xyz
'x,y,z'
'-x,-y,-z'
'-y,x-y,z'
'y,-x+y,-z'
'-x+y,-x,z'
'x-y,x,-z'
loop_
_atom_site_label
_atom_site_type_symbol
_atom_site_fract_x
_atom_site_fract_y
_atom_site_fract_z
Na1 Na 0.0000 0.0000 0.0000
Nb1 Nb 0.1011 0.6118 0.7510
Te1 Te 0.0630 0.3333 0.7480
Te2 Te 0.3333 0.6667 0.2505
# Formation energy without anion corrections, meV per atom: -484
# DOS(E_F), states/eV/atom: 0.451
# Magnetic moment, Bohr magnetons per cell: 0.00
# ρ, g cm⁻³: 7.2

# 5
# NaNbTe3 (GGA-PBE, relaxed)
data_NaNbTe3
_chemical_formula_sum 'Na8 Nb8 Te24'
_symmetry_space_group_name_H-M 'C 1 2/c 1'
_symmetry_Int_Tables_number 15
_cell_length_a 13.0532
_cell_length_b 14.1991
_cell_length_c 6.3703
_cell_angle_alpha 90.00
_cell_angle_beta 91.51
_cell_angle_gamma 90.00
loop_
_symmetry_equiv_pos_as_xyz
'x,y,z'
'-x,-y,-z'
'-x,y,-z+1/2'
'x,-y,z+1/2'
'x+1/2,y+1/2,z'
'-x+1/2,-y+1/2,-z'
'-x+1/2,y+1/2,-z+1/2'
'x+1/2,-y+1/2,z+1/2'
loop_
_atom_site_label
_atom_site_type_symbol
_atom_site_fract_x
_atom_site_fract_y
_atom_site_fract_z
Na1 Na 0.1417 0.0823 0.0911
Nb1 Nb 0.0000 0.3293 0.7500
Nb2 Nb 0.0000 0.4413 0.2500
Te1 Te 0.0835 0.1451 0.6078
Te2 Te 0.1318 0.3038 0.0939
Te3 Te 0.1502 0.4338 0.5808
# Formation energy without anion corrections, meV per atom: -472
# DOS(E_F), states/eV/atom: 0.352
# Magnetic moment, Bohr magnetons per cell: 0.00
# ρ, g cm⁻³: 5.6

# 6
# NaNb3Te (GGA-PBE, relaxed)
data_NaNb3Te
_chemical_formula_sum 'Na1 Nb3 Te1'
_symmetry_space_group_name_H-M 'P m -3 m'
_symmetry_Int_Tables_number 221
_symmetry_space_group_name_Hall '-P 4 2 3'
_cell_length_a 5.1276
_cell_length_b 5.1276
_cell_length_c 5.1276
_cell_angle_alpha 90.00
_cell_angle_beta 90.00
_cell_angle_gamma 90.00
loop_
_atom_site_label
_atom_site_type_symbol
_atom_site_fract_x
_atom_site_fract_y
_atom_site_fract_z
Na1 Na 0.0000 0.0000 0.0000
Nb1 Nb 0.0000 0.5000 0.5000
Te1 Te 0.5000 0.5000 0.5000
# Formation energy without anion corrections, meV per atom: 1396
# DOS(E_F), states/eV/atom: 2.023
# Magnetic moment, Bohr magnetons per cell: 0.00
# ρ, g cm⁻³: 5.3

# 7
# NaNb3Te (GGA-PBE, relaxed)
data_NaNb3Te
_chemical_formula_sum 'Na1 Nb3 Te1'
_symmetry_space_group_name_H-M 'P m -3 m'
_symmetry_Int_Tables_number 221
_symmetry_space_group_name_Hall '-P 4 2 3'
_cell_length_a 4.7703
_cell_length_b 4.7703
_cell_length_c 4.7703
_cell_angle_alpha 90.00
_cell_angle_beta 90.00
_cell_angle_gamma 90.00
loop_
_atom_site_label
_atom_site_type_symbol
_atom_site_fract_x
_atom_site_fract_y
_atom_site_fract_z
Na1 Na 0.0000 0.0000 0.0000
Nb1 Nb 0.0000 0.0000 0.5000
Te1 Te 0.5000 0.5000 0.5000
# Formation energy without anion corrections, meV per atom: 1900
# DOS(E_F), states/eV/atom: 1.416
# Magnetic moment, Bohr magnetons per cell: 0.00
# ρ, g cm⁻³: 6.6

# 8
# Na3NbTe (GGA-PBE, relaxed)
data_Na3NbTe
_chemical_formula_sum 'Na3 Nb1 Te1'
_symmetry_space_group_name_H-M 'P m -3 m'
_symmetry_Int_Tables_number 221
_symmetry_space_group_name_Hall '-P 4 2 3'
_cell_length_a 5.7684
_cell_length_b 5.7684
_cell_length_c 5.7684
_cell_angle_alpha 90.00
_cell_angle_beta 90.00
_cell_angle_gamma 90.00
loop_
_atom_site_label
_atom_site_type_symbol
_atom_site_fract_x
_atom_site_fract_y
_atom_site_fract_z
Na1 Na 0.0000 0.0000 0.5000
Nb1 Nb 0.0000 0.0000 0.0000
Te1 Te 0.5000 0.5000 0.5000
# Formation energy without anion corrections, meV per atom: 1027
# DOS(E_F), states/eV/atom: 1.327
# Magnetic moment, Bohr magnetons per cell: 5.72
# ρ, g cm⁻³: 2.5

Which of these has the lowest ρ? Na3NbTe

Look up the DOS(E_F) of the second one. 1.516 states/eV/atom